(1)
Computed, not measured: a relaxed structure of ScHg3Ge at the PBE level of DFT.

Computed properties:
- energy above the lowest structure with this stoichiometry (meV/atom) = 204
- space group = Pm-3m (221)
- density of states at the Fermi level (states/eV/cell) = 4.6
- DFT formation energy (eV per atom) = 0.619

Cell: 5.4442 5.4442 5.4442 Å, 90.00 90.00 90.00°
With the nearest neighbours (Å) after each atom.
Fractional positions:
Sc  0.0000  0.0000  0.0000  6 Hg 2.72
Hg  0.0000  0.0000  0.5000  2 Sc 2.72
Hg  0.0000  0.5000  0.0000  2 Sc 2.72
Hg  0.5000  0.0000  0.0000  2 Sc 2.72
Ge  0.5000  0.5000  0.5000  12 Hg 3.85

=====

(2)
Computed, not measured: a relaxed structure of ScHgGe2 at the PBE level of DFT.

Computed properties:
- space group = I-42d (122)
- density of states at the Fermi level (states/eV/cell) = 6.7
- DFT formation energy (eV per atom) = -0.026

Cell: 6.1185 6.1185 6.1185 Å, 103.94 103.94 121.20°
With the nearest neighbours (Å) after each atom.
Fractional positions:
Sc  0.0000  0.0000  0.0000  4 Ge 2.84, 2 Hg 3.00
Sc  0.7500  0.2500  0.5000  4 Ge 2.84, 2 Hg 3.00
Hg  0.2500  0.7500  0.5000  4 Ge 2.70, 2 Sc 3.00
Hg  0.5000  0.5000  0.0000  4 Ge 2.70, 2 Sc 3.00
Ge  0.1387  0.6250  0.0137  2 Hg 2.70, 2 Sc 2.84, 2 Ge 3.01
Ge  0.3750  0.3887  0.5137  2 Hg 2.70, 2 Sc 2.84, 2 Ge 3.01
Ge  0.6113  0.1250  0.9863  2 Hg 2.70, 2 Sc 2.84, 2 Ge 3.01
Ge  0.8750  0.8613  0.4863  2 Hg 2.70, 2 Sc 2.84, 2 Ge 3.01

=====

(3)
Computed, not measured: a relaxed structure of SmScHgGe at the PBE level of DFT.

Computed properties:
- space group = F-43m (216)
- density of states at the Fermi level (states/eV/cell) = 4.1
- DFT formation energy (eV per atom) = -0.513

Cell: 5.0790 5.0790 5.0790 Å, 60.00 60.00 60.00°
With the nearest neighbours (Å) after each atom.
Fractional positions:
Sm  0.0000  0.0000  0.0000  4 Hg 3.11, 4 Ge 3.11
Sc  0.5000  0.5000  0.5000  4 Ge 3.11, 4 Hg 3.11
Hg  0.7500  0.7500  0.7500  4 Sc 3.11, 4 Sm 3.11
Ge  0.2500  0.2500  0.2500  4 Sc 3.11, 4 Sm 3.11

=====

(4)
Computed, not measured: a relaxed structure of ScSnHgGe2 at the PBE level of DFT.

Computed properties:
- space group = P4/mmm (123)
- density of states at the Fermi level (states/eV/cell) = 4.5
- DFT formation energy (eV per atom) = 0.409

Cell: 5.1788 5.1788 5.6249 Å, 90.00 90.00 90.00°
With the nearest neighbours (Å) after each atom.
Fractional positions:
Sc  0.0000  0.0000  0.0000  4 Ge 2.59, 2 Sn 2.81
Sn  0.0000  0.0000  0.5000  2 Sc 2.81
Hg  0.5000  0.5000  0.5000  4 Sn 3.66, 8 Ge 3.82
Ge  0.0000  0.5000  0.0000  2 Sc 2.59
Ge  0.5000  0.0000  0.0000  2 Sc 2.59

=====

(5)
Computed, not measured: a relaxed structure of SrSc2HgGe at the PBE level of DFT.

Computed properties:
- space group = P4/mmm (123)
- density of states at the Fermi level (states/eV/cell) = 3.9
- DFT formation energy (eV per atom) = -0.017

Cell: 5.2076 5.2076 5.4934 Å, 90.00 90.00 90.00°
With the nearest neighbours (Å) after each atom.
Fractional positions:
Sr  0.0000  0.0000  0.0000  4 Hg 3.68, 8 Sc 3.78
Sc  0.0000  0.5000  0.5000  2 Ge 2.60
Sc  0.5000  0.0000  0.5000  2 Ge 2.60
Hg  0.5000  0.5000  0.0000  2 Ge 2.75
Ge  0.5000  0.5000  0.5000  4 Sc 2.60, 2 Hg 2.75

=====

(6)
Computed, not measured: a relaxed structure of TbScHgGe at the PBE level of DFT.

Computed properties:
- space group = F-43m (216)
- density of states at the Fermi level (states/eV/cell) = 3.7
- DFT formation energy (eV per atom) = -0.519

Cell: 5.0322 5.0322 5.0322 Å, 60.00 60.00 60.00°
With the nearest neighbours (Å) after each atom.
Fractional positions:
Tb  0.0000  0.0000  0.0000  4 Ge 3.08, 4 Hg 3.08
Sc  0.5000  0.5000  0.5000  4 Hg 3.08, 4 Ge 3.08
Hg  0.2500  0.2500  0.2500  4 Sc 3.08, 4 Tb 3.08
Ge  0.7500  0.7500  0.7500  4 Sc 3.08, 4 Tb 3.08

=====

Question: Which of these has the lowest DFT formation energy?
Answer: TbScHgGe

=====

Question: Which formula does entry 6 have?
Answer: TbScHgGe

=====

Question: What is the DFT formation energy in the third record?
Answer: -0.513 eV per atom